## CdFeIN2 (PBE-GGA)

Data for an optimized crystal structure of CdFeIN2.

* raw total energy: -2.657 eV/atom
* Fermi-level density of states: 10.48 states/eV/cell
* ΔE to the lowest computed polymorph: 1791 meV/atom
* SG: P4/mmm (123)

a = 6.0024 Å, b = 6.0024 Å, c = 7.2444 Å
α = 90.00°, β = 90.00°, γ = 90.00°
With the nearest neighbours (Å) after each atom.
Fractional positions:
1 Cd 0.0000 0.0000 0.0000  4 N 3.00
2 Fe 0.5000 0.5000 0.5000  4 I 4.24, 8 N 4.70
3 I 0.0000 0.0000 0.5000  2 Cd 3.62
4 N 0.0000 0.5000 0.0000  2 Cd 3.00
5 N 0.5000 0.0000 0.0000  2 Cd 3.00